Record 1
Material: Tb2NdY2Tm
Method: DFT, PBE-GGA
State: relaxed

It has space group Pnnm (No. 58), with a = 6.668 Å, b = 17.663 Å, c = 3.389 Å, α = 90.00°, β = 90.00° and γ = 90.00°. The distinct sites, in fractional coordinates, are Tb at (0.239, 0.179, 0.000), Nd at (0.000, 0.500, 0.000), Y at (0.237, 0.349, 0.500) and Tm at (0.000, 0.000, 0.000).

The formation energy comes out at 0.29 eV per atom. The value obtained for the theoretical density is 6.730 Mg/m³.

***

Record 2
Material: CaScPdAu
Method: DFT, PBE-GGA
State: relaxed

It has space group F-43m (No. 216), with a = 6.913 Å, b = 6.913 Å, c = 6.913 Å, α = 90.00°, β = 90.00° and γ = 90.00°. The distinct sites, in fractional coordinates, are Ca at (0.000, 0.000, 0.000), Sc at (0.000, 0.000, 0.500), Pd at (0.250, 0.250, 0.250) and Au at (0.250, 0.250, 0.750).

The formation energy comes out at -0.73 eV per atom. The value obtained for the theoretical density is 7.808 Mg/m³.

***

Record 3
Material: HPdIO2
Method: DFT, PBE-GGA
State: relaxed

It has space group P4/mmm (No. 123), with a = 4.130 Å, b = 4.130 Å, c = 3.570 Å, α = 90.00°, β = 90.00° and γ = 90.00°. The distinct sites, in fractional coordinates, are H at (0.000, 0.000, 0.000), Pd at (0.500, 0.500, 0.500), I at (0.000, 0.000, 0.500) and O at (0.000, 0.500, 0.000).

The energy above the lowest structure with this stoichiometry is 446 meV per atom. The value obtained for the theoretical density is 7.263 Mg/m³.

***

Record 4
Material: La2ErSc2In5
Method: DFT, PBE-GGA
State: relaxed

It has space group P4/mbm (No. 127), with a = 10.731 Å, b = 10.731 Å, c = 4.642 Å, α = 90.00°, β = 90.00° and γ = 90.00°. The distinct sites, in fractional coordinates, are La at (0.180, 0.320, 0.000), Er at (0.000, 0.000, 0.000), Sc at (0.119, 0.619, 0.000), In at (0.000, 0.500, 0.500) and In at (0.061, 0.798, 0.500).

The formation energy comes out at -0.40 eV per atom. The value obtained for the theoretical density is 6.890 Mg/m³.

***

Record 5
Material: CuSi2P
Method: DFT, PBE-GGA
State: relaxed

It has space group Immm (No. 71), with a = 3.270 Å, b = 3.637 Å, c = 9.902 Å, α = 90.00°, β = 90.00° and γ = 90.00°. The distinct sites, in fractional coordinates, are Cu at (0.000, 0.000, 0.000), Si at (0.000, 0.500, 0.193) and P at (0.000, 0.000, 0.500).

The value obtained for the theoretical density is 4.250 Mg/m³. The formation energy from raw total energies comes out at 307 meV/atom.

***

Record 6
Material: MnRuW
Method: DFT, PBE-GGA
State: relaxed

It has space group P3m1 (No. 156), with a = 4.2913 Å, b = 4.2913 Å, c = 2.7060 Å, α = 90.00°, β = 90.00° and γ = 120.00°. The distinct sites, in fractional coordinates, are Mn at (0.0000, 0.0000, 0.0000), Ru at (0.6667, 0.3333, 0.3571) and W at (0.3333, 0.6667, 0.6878).

The formation energy comes out at 0.15 eV per atom. The energy above the lowest structure with this stoichiometry is 61 meV per atom. The value obtained for the theoretical density is 13.076 Mg/m³.

***

Record 7
Material: HfU2N3
Method: DFT, PBE-GGA
State: relaxed

It has space group C2/m (No. 12), with a = 5.765 Å, b = 9.994 Å, c = 5.916 Å, α = 90.00°, β = 108.98° and γ = 90.00°. The distinct sites, in fractional coordinates, are Hf at (0.000, 0.167, 0.000), U at (0.000, 0.000, 0.500), U at (0.000, 0.333, 0.500), U at (0.000, 0.500, 0.000), N at (0.233, 0.000, 0.228) and N at (0.248, 0.329, 0.229).

The value obtained for the theoretical density is 14.355 Mg/m³. The formation energy from raw total energies comes out at -1485 meV/atom.

***

Record 8
Material: Sc2NbCd
Method: DFT, PBE-GGA
State: relaxed

It has space group P4/mmm (No. 123), with a = 3.134 Å, b = 3.134 Å, c = 8.656 Å, α = 90.00°, β = 90.00° and γ = 90.00°. The distinct sites, in fractional coordinates, are Sc at (0.000, 0.000, 0.241), Nb at (0.500, 0.500, 0.000) and Cd at (0.500, 0.500, 0.500).

The formation energy comes out at -0.08 eV per atom. The value obtained for the theoretical density is 5.766 Mg/m³.

***

Record 9
Material: Dy8Th2Sc3
Method: DFT, PBE-GGA
State: relaxed

It has space group C2/m (No. 12), with a = 12.995 Å, b = 11.283 Å, c = 5.980 Å, α = 90.00°, β = 114.18° and γ = 90.00°. The distinct sites, in fractional coordinates, are Dy at (0.084, 0.000, 0.275), Dy at (0.137, 0.500, 0.602), Dy at (0.158, 0.263, 0.151), Th at (0.182, 0.000, 0.845), Sc at (0.000, 0.236, 0.500) and Sc at (0.000, 0.500, 0.000).

The formation energy comes out at 0.21 eV per atom. The value obtained for the theoretical density is 7.884 Mg/m³.

***

Record 10
Material: Pm3TmMg
Method: DFT, PBE-GGA
State: relaxed

It has space group C2/m (No. 12), with a = 22.559 Å, b = 3.530 Å, c = 8.531 Å, α = 90.00°, β = 108.43° and γ = 90.00°. The distinct sites, in fractional coordinates, are Pm at (0.017, 0.000, 0.223), Pm at (0.122, 0.500, 0.038), Pm at (0.177, 0.000, 0.442), Tm at (0.234, 0.500, 0.820) and Mg at (0.076, 0.500, 0.599).

The formation energy comes out at 0.06 eV per atom. The energy above the lowest structure with this stoichiometry is 0 meV per atom. The value obtained for the theoretical density is 6.474 Mg/m³.

***

Record 11
Material: Pr3MgNi3
Method: DFT, PBE-GGA
State: relaxed

It has space group Cmcm (No. 63), with a = 4.309 Å, b = 10.359 Å, c = 13.830 Å, α = 90.00°, β = 90.00° and γ = 90.00°. The distinct sites, in fractional coordinates, are Pr at (0.000, 0.016, 0.250), Pr at (0.000, 0.297, 0.105), Mg at (0.000, 0.000, 0.000), Ni at (0.000, 0.278, 0.750) and Ni at (0.000, 0.410, 0.596).

The formation energy comes out at -0.26 eV per atom. The energy above the lowest structure with this stoichiometry is 0 meV per atom. The value obtained for the theoretical density is 6.704 Mg/m³.

***

Record 12
Material: LaCe2In2
Method: DFT, PBE-GGA
State: relaxed

It has space group C2/m (No. 12), with a = 11.095 Å, b = 5.367 Å, c = 9.635 Å, α = 90.00°, β = 101.41° and γ = 90.00°. The distinct sites, in fractional coordinates, are La at (0.234, 0.000, 0.246), Ce at (0.061, 0.000, 0.846), Ce at (0.116, 0.000, 0.579), In at (0.060, 0.500, 0.365) and In at (0.133, 0.500, 0.066).

The formation energy comes out at -0.29 eV per atom. The energy above the lowest structure with this stoichiometry is 0 meV per atom. The value obtained for the theoretical density is 7.663 Mg/m³.

***

Question: Number 5 is which compound?
Answer: CuSi2P

***

Question: What is the theoretical density in the eleventh record?
Answer: 6.704 Mg/m³

***

Question: Number 7 is which compound?
Answer: HfU2N3

***

Question: Look up the theoretical density of the tenth one.
Answer: 6.474 Mg/m³